Material: Pr3Sm2Sn3
Method: DFT, PBE-GGA
State: relaxed

- DFT total energy: -5.1735 eV/atom
- Magnetic moment: 0.148 μB/f.u.

Structure (CIF):
```
data_Pr3Sm2Sn3
_chemical_formula_sum 'Pr6 Sm4 Sn6'
_space_group_name_H-M_alt 'P 63/m c m'
_space_group_IT_number 193
_space_group_name_Hall '-P 6c 2'
_cell_length_a 9.2983
_cell_length_b 9.2983
_cell_length_c 6.8089
_cell_angle_alpha 90.00
_cell_angle_beta 90.00
_cell_angle_gamma 120.00
loop_
_atom_site_label
_atom_site_fract_x
_atom_site_fract_y
_atom_site_fract_z
_atom_site_occupancy
Pr1 0.0000 0.2433 0.2500 1
Sm1 0.3333 0.6667 0.0000 1
Sn1 0.0000 0.3957 0.7500 1
```

Material: ScNiSbIr
Method: DFT, PBE-GGA
State: relaxed

- DFT total energy: -6.4258 eV/atom
- Magnetic moment: 0.003 μB/f.u.

Structure (CIF):
```
data_ScNiSbIr
_chemical_formula_sum 'Sc4 Ni4 Sb4 Ir4'
_space_group_name_H-M_alt 'F -4 3 m'
_space_group_IT_number 216
_space_group_name_Hall 'F -4 2 3'
_cell_length_a 6.444
_cell_length_b 6.444
_cell_length_c 6.444
_cell_angle_alpha 90.00
_cell_angle_beta 90.00
_cell_angle_gamma 90.00
loop_
_atom_site_label
_atom_site_fract_x
_atom_site_fract_y
_atom_site_fract_z
_atom_site_occupancy
Sc1 0.000 0.000 0.000 1
Ni1 0.000 0.000 0.500 1
Sb1 0.250 0.250 0.250 1
Ir1 0.250 0.250 0.750 1
```

Material: Gd3Mg3Tl2Hg
Method: DFT, PBE-GGA
State: relaxed

- DFT total energy: -3.0113 eV/atom
- Magnetic moment: 0.002 μB/f.u.

Structure (CIF):
```
data_Gd3Mg3Tl2Hg
_chemical_formula_sum 'Gd3 Mg3 Tl2 Hg1'
_space_group_name_H-M_alt 'P -6 2 m'
_space_group_IT_number 189
_space_group_name_Hall 'P -6 -2'
_cell_length_a 7.6260
_cell_length_b 7.6260
_cell_length_c 4.5227
_cell_angle_alpha 90.00
_cell_angle_beta 90.00
_cell_angle_gamma 120.00
loop_
_atom_site_label
_atom_site_fract_x
_atom_site_fract_y
_atom_site_fract_z
_atom_site_occupancy
Gd1 0.0000 0.4177 0.0000 1
Mg1 0.0000 0.7604 0.5000 1
Tl1 0.3333 0.6667 0.5000 1
Hg1 0.0000 0.0000 0.0000 1
```

Material: Gd
Method: DFT, PBE-GGA
State: relaxed

- Excess energy over the best structure of this formula in the dataset: 11 meV/atom
- Magnetic moment: 0.002 μB/f.u.
- Formation energy from the elements: 0.01 eV/f.u.

Structure (CIF):
```
data_Gd
_chemical_formula_sum 'Gd3'
_space_group_name_H-M_alt 'R -3 m'
_space_group_IT_number 166
_space_group_name_Hall '-R 3 2"'
_cell_length_a 3.5717
_cell_length_b 3.5717
_cell_length_c 8.7131
_cell_angle_alpha 90.00
_cell_angle_beta 90.00
_cell_angle_gamma 120.00
loop_
_atom_site_label
_atom_site_fract_x
_atom_site_fract_y
_atom_site_fract_z
_atom_site_occupancy
Gd1 0.0000 0.0000 0.0000 1
```

Material: Sc2Al3Tc
Method: DFT, PBE-GGA
State: relaxed

- DFT total energy: -6.2469 eV/atom
- Magnetic moment: 0.104 μB/f.u.

Structure (CIF):
```
data_Sc2Al3Tc
_chemical_formula_sum 'Sc4 Al6 Tc2'
_space_group_name_H-M_alt 'P 63/m m c'
_space_group_IT_number 194
_space_group_name_Hall '-P 6c 2c'
_cell_length_a 5.3009
_cell_length_b 5.3009
_cell_length_c 8.6891
_cell_angle_alpha 90.00
_cell_angle_beta 90.00
_cell_angle_gamma 120.00
loop_
_atom_site_label
_atom_site_fract_x
_atom_site_fract_y
_atom_site_fract_z
_atom_site_occupancy
Sc1 0.3333 0.6667 0.0501 1
Al1 0.1650 0.3300 0.7500 1
Tc1 0.0000 0.0000 0.0000 1
```

Material: TmLuRe2Si2C
Method: DFT, PBE-GGA
State: relaxed

- DFT total energy: -8.2956 eV/atom
- Magnetic moment: 0.008 μB/f.u.

Structure (CIF):
```
data_TmLuRe2Si2C
_chemical_formula_sum 'Tm2 Lu2 Re4 Si4 C2'
_space_group_name_H-M_alt 'C 1 m 1'
_space_group_IT_number 8
_space_group_name_Hall 'C -2y'
_cell_length_a 10.854
_cell_length_b 3.962
_cell_length_c 6.831
_cell_angle_alpha 90.00
_cell_angle_beta 127.36
_cell_angle_gamma 90.00
loop_
_atom_site_label
_atom_site_fract_x
_atom_site_fract_y
_atom_site_fract_z
_atom_site_occupancy
Tm1 0.000 0.000 0.000 1
Lu1 0.145 0.000 0.597 1
Re1 0.281 0.500 0.394 1
Re2 0.364 0.000 0.204 1
Si1 0.213 0.500 0.976 1
Si2 0.432 0.000 0.621 1
C1 0.072 0.500 0.299 1
```

Material: Lu2Ta4Bi3N3
Method: DFT, PBE-GGA
State: relaxed

- DFT total energy: -8.2945 eV/atom
- Magnetic moment: 0.001 μB/f.u.

Structure (CIF):
```
data_Lu2Ta4Bi3N3
_chemical_formula_sum 'Lu8 Ta16 Bi12 N12'
_space_group_name_H-M_alt 'C 1 2/c 1'
_space_group_IT_number 15
_space_group_name_Hall '-C 2yc'
_cell_length_a 10.314
_cell_length_b 6.054
_cell_length_c 13.971
_cell_angle_alpha 90.00
_cell_angle_beta 104.24
_cell_angle_gamma 90.00
loop_
_atom_site_label
_atom_site_fract_x
_atom_site_fract_y
_atom_site_fract_z
_atom_site_occupancy
Lu1 0.055 0.084 0.410 1
Ta1 0.109 0.430 0.571 1
Ta2 0.219 0.410 0.928 1
Bi1 0.000 0.436 0.250 1
Bi2 0.178 0.100 0.750 1
N1 0.079 0.238 0.000 1
N2 0.250 0.250 0.500 1
```

Material: SrAg2SnSe2S2
Method: DFT, PBE-GGA
State: relaxed

- DFT total energy: -4.0229 eV/atom

Structure (CIF):
```
data_SrAg2SnSe2S2
_chemical_formula_sum 'Sr2 Ag4 Sn2 Se4 S4'
_space_group_name_H-M_alt 'C 1 2 1'
_space_group_IT_number 5
_space_group_name_Hall 'C 2y'
_cell_length_a 10.840
_cell_length_b 7.071
_cell_length_c 7.432
_cell_angle_alpha 90.00
_cell_angle_beta 132.48
_cell_angle_gamma 90.00
loop_
_atom_site_label
_atom_site_fract_x
_atom_site_fract_y
_atom_site_fract_z
_atom_site_occupancy
Sr1 0.000 0.000 0.000 1
Ag1 0.190 0.997 0.675 1
Sn1 0.000 0.507 0.500 1
Se1 0.182 0.291 0.877 1
S1 0.182 0.698 0.493 1
```